# 1
# GaSiSeN2 | Alexandria | PBE | optimized geometry
data_GaSiSeN2
_chemical_formula_sum 'Ga1 Si1 Se1 N2'
_cell_length_a 3.826
_cell_length_b 3.826
_cell_length_c 5.623
_cell_angle_alpha 90.00
_cell_angle_beta 90.00
_cell_angle_gamma 90.00
_symmetry_space_group_name_H-M 'P 4/m m m'
_symmetry_Int_Tables_number 123
_symmetry_space_group_name_Hall '-P 4 2'
loop_
_atom_site_label
_atom_site_type_symbol
_atom_site_fract_x
_atom_site_fract_y
_atom_site_fract_z
_atom_site_occupancy
Ga1 Ga 0.000 0.000 0.000 1
Si1 Si 0.500 0.500 0.500 1
Se1 Se 0.000 0.000 0.500 1
N1 N 0.000 0.500 0.000 1
# Uncorrected formation energy (eV/atom): 1.285
# Magnetization (μB/f.u.): 2.0
# Uncorrected energy (eV per atom): -4.432
# Energy above the lowest structure with this stoichiometry (meV/atom): 895

***

# 2
# GaSiSeN2 | Alexandria | PBE | optimized geometry
data_GaSiSeN2
_chemical_formula_sum 'Ga1 Si1 Se1 N2'
_cell_length_a 3.513
_cell_length_b 3.513
_cell_length_c 6.280
_cell_angle_alpha 90.00
_cell_angle_beta 90.00
_cell_angle_gamma 90.00
_symmetry_space_group_name_H-M 'P 4/m m m'
_symmetry_Int_Tables_number 123
_symmetry_space_group_name_Hall '-P 4 2'
loop_
_atom_site_label
_atom_site_type_symbol
_atom_site_fract_x
_atom_site_fract_y
_atom_site_fract_z
_atom_site_occupancy
Ga1 Ga 0.000 0.000 0.000 1
Si1 Si 0.500 0.500 0.500 1
Se1 Se 0.500 0.500 0.000 1
N1 N 0.000 0.500 0.500 1
# Uncorrected formation energy (eV/atom): 0.389
# Magnetization (μB/f.u.): 0.1
# Uncorrected energy (eV per atom): -5.328
# Energy above the lowest structure with this stoichiometry (meV/atom): 0

***

# 3
# GaSnSeN2 | Alexandria | PBE | optimized geometry
data_GaSnSeN2
_chemical_formula_sum 'Ga1 Sn1 Se1 N2'
_cell_length_a 4.060
_cell_length_b 4.060
_cell_length_c 5.338
_cell_angle_alpha 90.00
_cell_angle_beta 90.00
_cell_angle_gamma 90.00
_symmetry_space_group_name_H-M 'P 4/m m m'
_symmetry_Int_Tables_number 123
_symmetry_space_group_name_Hall '-P 4 2'
loop_
_atom_site_label
_atom_site_type_symbol
_atom_site_fract_x
_atom_site_fract_y
_atom_site_fract_z
_atom_site_occupancy
Ga1 Ga 0.000 0.000 0.000 1
Sn1 Sn 0.500 0.500 0.500 1
Se1 Se 0.000 0.000 0.500 1
N1 N 0.000 0.500 0.000 1
# Uncorrected formation energy (eV/atom): 0.996
# Magnetization (μB/f.u.): 2.9
# Uncorrected energy (eV per atom): -4.437
# Energy above the lowest structure with this stoichiometry (meV/atom): 0

***

# 4
# GaSnSe2N | Alexandria | PBE | optimized geometry
data_GaSnSe2N
_chemical_formula_sum 'Ga1 Sn1 Se2 N1'
_cell_length_a 5.410
_cell_length_b 5.410
_cell_length_c 4.127
_cell_angle_alpha 90.00
_cell_angle_beta 90.00
_cell_angle_gamma 90.00
_symmetry_space_group_name_H-M 'P 4/m m m'
_symmetry_Int_Tables_number 123
_symmetry_space_group_name_Hall '-P 4 2'
loop_
_atom_site_label
_atom_site_type_symbol
_atom_site_fract_x
_atom_site_fract_y
_atom_site_fract_z
_atom_site_occupancy
Ga1 Ga 0.000 0.000 0.000 1
Sn1 Sn 0.500 0.500 0.500 1
Se1 Se 0.000 0.500 0.500 1
N1 N 0.500 0.500 0.000 1
# Uncorrected formation energy (eV/atom): 0.617
# Magnetization (μB/f.u.): 1.8
# Uncorrected energy (eV per atom): -3.847
# Energy above the lowest structure with this stoichiometry (meV/atom): 241

***

# 5
# GaSnSe2N | Alexandria | PBE | optimized geometry
data_GaSnSe2N
_chemical_formula_sum 'Ga1 Sn1 Se2 N1'
_cell_length_a 5.261
_cell_length_b 5.261
_cell_length_c 3.771
_cell_angle_alpha 90.00
_cell_angle_beta 90.00
_cell_angle_gamma 90.00
_symmetry_space_group_name_H-M 'P 4/m m m'
_symmetry_Int_Tables_number 123
_symmetry_space_group_name_Hall '-P 4 2'
loop_
_atom_site_label
_atom_site_type_symbol
_atom_site_fract_x
_atom_site_fract_y
_atom_site_fract_z
_atom_site_occupancy
Ga1 Ga 0.000 0.000 0.000 1
Sn1 Sn 0.500 0.500 0.500 1
Se1 Se 0.000 0.500 0.000 1
N1 N 0.000 0.000 0.500 1
# Uncorrected formation energy (eV/atom): 0.377
# Magnetization (μB/f.u.): 1.7
# Uncorrected energy (eV per atom): -4.088
# Energy above the lowest structure with this stoichiometry (meV/atom): 0

***

# 6
# GaSnSeN2 | Alexandria | PBE | optimized geometry
data_GaSnSeN2
_chemical_formula_sum 'Ga1 Sn1 Se1 N2'
_cell_length_a 4.120
_cell_length_b 4.120
_cell_length_c 5.770
_cell_angle_alpha 90.00
_cell_angle_beta 90.00
_cell_angle_gamma 90.00
_symmetry_space_group_name_H-M 'P 4/m m m'
_symmetry_Int_Tables_number 123
_symmetry_space_group_name_Hall '-P 4 2'
loop_
_atom_site_label
_atom_site_type_symbol
_atom_site_fract_x
_atom_site_fract_y
_atom_site_fract_z
_atom_site_occupancy
Ga1 Ga 0.000 0.000 0.000 1
Sn1 Sn 0.500 0.500 0.500 1
Se1 Se 0.500 0.500 0.000 1
N1 N 0.000 0.500 0.500 1
# Uncorrected formation energy (eV/atom): 1.105
# Magnetization (μB/f.u.): 2.2
# Uncorrected energy (eV per atom): -4.328
# Energy above the lowest structure with this stoichiometry (meV/atom): 109

***

# 7
# SrGaSe2N | Alexandria | PBE | optimized geometry
data_SrGaSe2N
_chemical_formula_sum 'Sr1 Ga1 Se2 N1'
_cell_length_a 5.321
_cell_length_b 5.321
_cell_length_c 3.877
_cell_angle_alpha 90.00
_cell_angle_beta 90.00
_cell_angle_gamma 90.00
_symmetry_space_group_name_H-M 'P 4/m m m'
_symmetry_Int_Tables_number 123
_symmetry_space_group_name_Hall '-P 4 2'
loop_
_atom_site_label
_atom_site_type_symbol
_atom_site_fract_x
_atom_site_fract_y
_atom_site_fract_z
_atom_site_occupancy
Sr1 Sr 0.000 0.000 0.000 1
Ga1 Ga 0.500 0.500 0.500 1
Se1 Se 0.000 0.500 0.500 1
N1 N 0.500 0.500 0.000 1
# Uncorrected formation energy (eV/atom): -0.309
# Magnetization (μB/f.u.): 2.0
# Uncorrected energy (eV per atom): -4.310
# Energy above the lowest structure with this stoichiometry (meV/atom): 0

***

# 8
# SrGaSe2N | Alexandria | PBE | optimized geometry
data_SrGaSe2N
_chemical_formula_sum 'Sr1 Ga1 Se2 N1'
_cell_length_a 5.921
_cell_length_b 5.921
_cell_length_c 4.967
_cell_angle_alpha 90.00
_cell_angle_beta 90.00
_cell_angle_gamma 90.00
_symmetry_space_group_name_H-M 'P 4/m m m'
_symmetry_Int_Tables_number 123
_symmetry_space_group_name_Hall '-P 4 2'
loop_
_atom_site_label
_atom_site_type_symbol
_atom_site_fract_x
_atom_site_fract_y
_atom_site_fract_z
_atom_site_occupancy
Sr1 Sr 0.000 0.000 0.000 1
Ga1 Ga 0.500 0.500 0.500 1
Se1 Se 0.000 0.500 0.000 1
N1 N 0.000 0.000 0.500 1
# Uncorrected formation energy (eV/atom): 0.602
# Magnetization (μB/f.u.): 4.0
# Uncorrected energy (eV per atom): -3.399
# Energy above the lowest structure with this stoichiometry (meV/atom): 911

***

# 9
# GaTcSeN2 | Alexandria | PBE | optimized geometry
data_GaTcSeN2
_chemical_formula_sum 'Ga1 Tc1 Se1 N2'
_cell_length_a 3.850
_cell_length_b 3.850
_cell_length_c 5.416
_cell_angle_alpha 90.00
_cell_angle_beta 90.00
_cell_angle_gamma 90.00
_symmetry_space_group_name_H-M 'P 4/m m m'
_symmetry_Int_Tables_number 123
_symmetry_space_group_name_Hall '-P 4 2'
loop_
_atom_site_label
_atom_site_type_symbol
_atom_site_fract_x
_atom_site_fract_y
_atom_site_fract_z
_atom_site_occupancy
Ga1 Ga 0.000 0.000 0.000 1
Tc1 Tc 0.500 0.500 0.500 1
Se1 Se 0.500 0.500 0.000 1
N1 N 0.000 0.500 0.500 1
# Uncorrected formation energy (eV/atom): 0.434
# Magnetization (μB/f.u.): 0.0
# Uncorrected energy (eV per atom): -6.272
# Energy above the lowest structure with this stoichiometry (meV/atom): 0

***

# 10
# GaTcSeN2 | Alexandria | PBE | optimized geometry
data_GaTcSeN2
_chemical_formula_sum 'Ga1 Tc1 Se1 N2'
_cell_length_a 3.808
_cell_length_b 3.808
_cell_length_c 5.658
_cell_angle_alpha 90.00
_cell_angle_beta 90.00
_cell_angle_gamma 90.00
_symmetry_space_group_name_H-M 'P 4/m m m'
_symmetry_Int_Tables_number 123
_symmetry_space_group_name_Hall '-P 4 2'
loop_
_atom_site_label
_atom_site_type_symbol
_atom_site_fract_x
_atom_site_fract_y
_atom_site_fract_z
_atom_site_occupancy
Ga1 Ga 0.000 0.000 0.000 1
Tc1 Tc 0.000 0.000 0.500 1
Se1 Se 0.500 0.500 0.000 1
N1 N 0.000 0.500 0.500 1
# Uncorrected formation energy (eV/atom): 0.576
# Magnetization (μB/f.u.): 0.4
# Uncorrected energy (eV per atom): -6.130
# Energy above the lowest structure with this stoichiometry (meV/atom): 142

***

# 11
# GaTcSeN2 | Alexandria | PBE | optimized geometry
data_GaTcSeN2
_chemical_formula_sum 'Ga1 Tc1 Se1 N2'
_cell_length_a 3.786
_cell_length_b 3.786
_cell_length_c 5.610
_cell_angle_alpha 90.00
_cell_angle_beta 90.00
_cell_angle_gamma 90.00
_symmetry_space_group_name_H-M 'P 4/m m m'
_symmetry_Int_Tables_number 123
_symmetry_space_group_name_Hall '-P 4 2'
loop_
_atom_site_label
_atom_site_type_symbol
_atom_site_fract_x
_atom_site_fract_y
_atom_site_fract_z
_atom_site_occupancy
Ga1 Ga 0.000 0.000 0.000 1
Tc1 Tc 0.500 0.500 0.500 1
Se1 Se 0.000 0.000 0.500 1
N1 N 0.000 0.500 0.000 1
# Uncorrected formation energy (eV/atom): 1.517
# Magnetization (μB/f.u.): 4.4
# Uncorrected energy (eV per atom): -5.189
# Energy above the lowest structure with this stoichiometry (meV/atom): 1083

***

# 12
# TiGaSeN2 | Alexandria | PBE | optimized geometry
data_TiGaSeN2
_chemical_formula_sum 'Ti1 Ga1 Se1 N2'
_cell_length_a 3.867
_cell_length_b 3.867
_cell_length_c 5.513
_cell_angle_alpha 90.00
_cell_angle_beta 90.00
_cell_angle_gamma 90.00
_symmetry_space_group_name_H-M 'P 4/m m m'
_symmetry_Int_Tables_number 123
_symmetry_space_group_name_Hall '-P 4 2'
loop_
_atom_site_label
_atom_site_type_symbol
_atom_site_fract_x
_atom_site_fract_y
_atom_site_fract_z
_atom_site_occupancy
Ti1 Ti 0.000 0.000 0.000 1
Ga1 Ga 0.500 0.500 0.500 1
Se1 Se 0.000 0.000 0.500 1
N1 N 0.000 0.500 0.000 1
# Uncorrected formation energy (eV/atom): 0.158
# Magnetization (μB/f.u.): 0.0
# Uncorrected energy (eV per atom): -6.054
# Energy above the lowest structure with this stoichiometry (meV/atom): 0

***

# 13
# TiGaSeN2 | Alexandria | PBE | optimized geometry
data_TiGaSeN2
_chemical_formula_sum 'Ti1 Ga1 Se1 N2'
_cell_length_a 3.826
_cell_length_b 3.826
_cell_length_c 5.238
_cell_angle_alpha 90.00
_cell_angle_beta 90.00
_cell_angle_gamma 90.00
_symmetry_space_group_name_H-M 'P 4/m m m'
_symmetry_Int_Tables_number 123
_symmetry_space_group_name_Hall '-P 4 2'
loop_
_atom_site_label
_atom_site_type_symbol
_atom_site_fract_x
_atom_site_fract_y
_atom_site_fract_z
_atom_site_occupancy
Ti1 Ti 0.000 0.000 0.000 1
Ga1 Ga 0.500 0.500 0.500 1
Se1 Se 0.500 0.500 0.000 1
N1 N 0.000 0.500 0.500 1
# Uncorrected formation energy (eV/atom): 0.811
# Magnetization (μB/f.u.): 0.5
# Uncorrected energy (eV per atom): -5.401
# Energy above the lowest structure with this stoichiometry (meV/atom): 653

***

# 14
# GaWSe2N | Alexandria | PBE | optimized geometry
data_GaWSe2N
_chemical_formula_sum 'Ga1 W1 Se2 N1'
_cell_length_a 5.119
_cell_length_b 5.119
_cell_length_c 3.829
_cell_angle_alpha 90.00
_cell_angle_beta 90.00
_cell_angle_gamma 90.00
_symmetry_space_group_name_H-M 'P 4/m m m'
_symmetry_Int_Tables_number 123
_symmetry_space_group_name_Hall '-P 4 2'
loop_
_atom_site_label
_atom_site_type_symbol
_atom_site_fract_x
_atom_site_fract_y
_atom_site_fract_z
_atom_site_occupancy
Ga1 Ga 0.000 0.000 0.000 1
W1 W 0.500 0.500 0.500 1
Se1 Se 0.000 0.500 0.500 1
N1 N 0.500 0.500 0.000 1
# Uncorrected formation energy (eV/atom): 0.077
# Magnetization (μB/f.u.): 0.0
# Uncorrected energy (eV per atom): -6.178
# Energy above the lowest structure with this stoichiometry (meV/atom): 0